Density functional theory data (PBE) for a geometry-optimized Na2H6IrPd structure.

a b c (Å): 7.136 7.136 7.136
angles (deg): 90.00 90.00 90.00
Space group Fm-3m (No. 225)
Asymmetric unit:
Na: 0.250 0.250 0.250 x8
H: 0.000 0.000 0.243 x24
Ir: 0.000 0.000 0.000 x4
Pd: 0.000 0.000 0.500 x4

## Properties
The value obtained for the energy is -3.95 eV/atom.